(1)
InNiAs: relaxed, PBE-GGA.

POSCAR file:
```
InNiAs
1.0
3.9553 0.0000 0.0000
-1.9777 3.4254 0.0000
0.0000 0.0000 4.2062
As In Ni
1 1 1
Cartesian
0.0000 0.0000 3.6824
0.0000 2.2836 1.5501
1.9777 1.1418 3.1798
```

Results
- Crystal system: trigonal
- Space group: No. 156
- V: 19.00 Å³/atom



(2)
InNi7As2: relaxed, PBE-GGA.

POSCAR file:
```
InNi7As2
1.0
3.7250 0.0000 -0.7168
-0.1379 3.7225 -0.7168
-0.0669 -0.0695 9.6899
In Ni As
1 7 2
Cartesian
0.0000 0.0000 0.0000
0.2779 2.2211 1.4440
1.3108 3.2931 6.8124
2.2093 0.3599 1.4440
1.7935 1.8612 -0.7168
2.7258 0.8959 4.1282
3.2423 1.4319 6.8124
0.7943 2.7571 4.1282
2.3908 2.4810 2.3873
1.1293 1.1719 5.8691
```

Results
- Crystal system: tetragonal
- Space group: No. 139
- V: 13.40 Å³/atom



(3)
In2Ni2As: relaxed, PBE-GGA.

POSCAR file:
```
In2Ni2As
1.0
6.5522 0.0000 0.0000
0.0000 6.5522 0.0000
0.0000 0.0000 3.9512
Ni As In
4 2 4
Cartesian
2.3263 5.6024 0.0000
5.6024 4.2259 0.0000
4.2259 0.9498 0.0000
0.9498 2.3263 0.0000
0.0000 0.0000 0.0000
3.2761 3.2761 0.0000
1.0525 4.3286 1.9756
4.3286 5.4997 1.9756
5.4997 2.2236 1.9756
2.2236 1.0525 1.9756
```

Results
- Crystal system: tetragonal
- Space group: No. 127
- V: 16.96 Å³/atom



(4)
InNi2As: relaxed, PBE-GGA.

POSCAR file:
```
InNi2As
1.0
-2.6623 0.4119 1.4641
-1.4852 -1.3980 -2.3075
-0.7595 -6.9294 0.5683
As In Ni
1 1 2
Cartesian
-1.8923 -1.8759 0.2973
-3.0147 -6.0396 -0.5723
-1.4616 -1.5968 -2.2086
-1.1460 -3.9650 -0.9685
```

Results
- Crystal system: orthorhombic
- Space group: No. 47
- V: 14.82 Å³/atom



ΔE_f for the records above, in order: -0.03 -0.18 0.00 -0.05 eV per atom
Total moment for the records above, in order: 0.0 0.0 0.0 0.0 μB per cell
Uncorrected energy for the records above, in order: -13.2 -54.3 -43.4 -19.2 eV per cell